Compound: Zn2CuRe
Source: the Alexandria database
Functional: GGA-PBE
Structure: relaxed

Properties
D(E_F) ... 3.3 states/eV per cell
E_form ... 0.22 eV per atom
Polymorph energy (0 for the lowest one) ... 3.087 kcal/mol of atoms

Cell: 2.7039 4.5209 9.0738 Å, 90.00 90.00 90.00°
With the nearest neighbours (Å) after each atom.
Space group Imm2 (No. 44)
Inequivalent atoms, fractional coordinates:
Zn 0.0000 0.0000 0.0000 (multiplicity 2)  2 Cu 2.54, 4 Re 2.64, 4 Zn 2.64-2.70
Zn 0.0000 0.5000 0.2501 (multiplicity 2)  4 Cu 2.64, 4 Zn 2.64-2.70, 2 Re 2.72
Cu 0.0000 0.5000 0.7375 (multiplicity 2)  6 Zn 2.54-2.64, 2 Re 2.66, 2 Cu 2.70
Re 0.0000 0.0000 0.4902 (multiplicity 2)  6 Zn 2.64-2.72, 2 Cu 2.66, 2 Re 2.70